A geometry-optimized Sn2Rh2Au structure. Source: Alexandria via LeMat-Bulk, functional GGA-PBEsol.

Cell: 7.4234 7.4234 3.1214 Å, 90.00 90.00 90.00°
Space group P4/mbm (No. 127)
Inequivalent atoms, fractional coordinates:
Sn (0.1587, 0.3413, 0.0000) x4
Rh (0.1404, 0.6404, 0.5000) x4
Au (0.0000, 0.0000, 0.5000) x2

Summary:
total energy = -6.09 eV/atom
ΔE_f = -1.74 eV per formula unit

***

A geometry-optimized ErCo4Ge2 structure. Source: Alexandria via LeMat-Bulk, functional GGA-PBEsol.

Cell: 7.1208 7.1208 3.6381 Å, 90.00 90.00 90.00°
Space group P4_2/mnm (No. 136)
Inequivalent atoms, fractional coordinates:
Er (0.0000, 0.0000, 0.0000) x2
Co (0.0808, 0.3536, 0.5000) x8
Ge (0.2227, 0.7773, 0.5000) x4

Summary:
total energy = -6.99 eV/atom
ΔE_f = -3.19 eV per formula unit

***

A geometry-optimized BeRePb2 structure. Source: Alexandria via LeMat-Bulk, functional GGA-PBEsol.

Cell: 6.6414 6.6584 3.3833 Å, 90.00 90.00 90.00°
Space group Cmmm (No. 65)
Inequivalent atoms, fractional coordinates:
Be (0.0000, 0.0000, 0.0000) x2
Re (0.0000, 0.5000, 0.0000) x2
Pb (0.2500, 0.2500, 0.5000) x4

Summary:
total energy = -5.25 eV/atom
ΔE_f = 4.33 eV per formula unit

***

A geometry-optimized AgRuPt2 structure. Source: Alexandria via LeMat-Bulk, functional GGA-PBEsol.

Cell: 5.4981 7.9350 2.7103 Å, 90.00 90.00 90.00°
Space group Cmmm (No. 65)
Inequivalent atoms, fractional coordinates:
Ag (0.0000, 0.0000, 0.0000) x2
Ru (0.0000, 0.5000, 0.0000) x2
Pt (0.2500, 0.2500, 0.5000) x4

Summary:
total energy = -6.70 eV/atom
ΔE_f = 0.61 eV per formula unit

***

A geometry-optimized CaRu2Se structure. Source: Alexandria via LeMat-Bulk, functional GGA-PBEsol.

Cell: 3.0605 4.6055 9.2703 Å, 90.00 90.00 90.00°
Space group Imm2 (No. 44)
Inequivalent atoms, fractional coordinates:
Ca (0.0000, 0.0000, 0.0000) x2
Ru (0.0000, 0.0000, 0.5172) x2
Ru (0.0000, 0.5000, 0.7809) x2
Se (0.0000, 0.5000, 0.2296) x2

Summary:
formation energy from raw total energies = 0.149 eV per atom
total energy = -6.43 eV/atom

***

A geometry-optimized BeCu2 structure. Source: Alexandria via LeMat-Bulk, functional GGA-PBEsol.

Cell: 3.8263 3.8263 4.8083 Å, 90.00 90.00 120.00°
Space group P6_3/mmc (No. 194)
Inequivalent atoms, fractional coordinates:
Be (0.3333, 0.6667, 0.2500) x2
Cu (0.0000, 0.0000, 0.0000) x2
Cu (0.3333, 0.6667, 0.7500) x2

Summary:
total energy = -4.26 eV/atom
ΔE_f = -0.12 eV per formula unit

***

A geometry-optimized NbTc2AuF structure. Source: Alexandria via LeMat-Bulk, functional GGA-PBEsol.

Cell: 4.0245 4.0245 4.6180 Å, 90.00 90.00 90.00°
Space group P4/mmm (No. 123)
Inequivalent atoms, fractional coordinates:
Nb (0.0000, 0.0000, 0.0000) x1
Tc (0.0000, 0.5000, 0.5000) x2
Au (0.5000, 0.5000, 0.0000) x1
F (0.5000, 0.5000, 0.5000) x1

Summary:
formation energy from raw total energies = 0.601 eV per atom
total energy = -7.24 eV/atom

***

A geometry-optimized AlIn2GaPd structure. Source: Alexandria via LeMat-Bulk, functional GGA-PBEsol.

Cell: 5.1058 5.1058 4.6851 Å, 90.00 90.00 90.00°
Space group P4/mmm (No. 123)
Inequivalent atoms, fractional coordinates:
Al (0.0000, 0.0000, 0.0000) x1
In (0.0000, 0.5000, 0.5000) x2
Ga (0.5000, 0.5000, 0.5000) x1
Pd (0.5000, 0.5000, 0.0000) x1

Summary:
total energy = -3.43 eV/atom
ΔE_f = 2.20 eV per formula unit

***

A geometry-optimized RbTlF4 structure. Source: Alexandria via LeMat-Bulk, functional GGA-PBEsol.

Cell: 6.2151 8.2853 8.4077 Å, 90.00 90.00 90.00°
Space group Pbcm (No. 57)
Inequivalent atoms, fractional coordinates:
Rb (0.0147, 0.1893, 0.2500) x4
Tl (0.5000, 0.0000, 0.0000) x4
F (0.1970, 0.5769, 0.5681) x8
F (0.3560, 0.2500, 0.0000) x4
F (0.3832, 0.5267, 0.2500) x4

Summary:
formation energy from raw total energies = -2.208 eV per atom
total energy = -4.10 eV/atom

***

A geometry-optimized AgSbTe2 structure. Source: Alexandria via LeMat-Bulk, functional GGA-PBEsol.

Cell: 4.2419 4.2419 6.0109 Å, 90.00 90.00 90.00°
Space group P4/mmm (No. 123)
Inequivalent atoms, fractional coordinates:
Ag (0.0000, 0.0000, 0.0000) x1
Sb (0.5000, 0.5000, 0.5000) x1
Te (0.0000, 0.0000, 0.5000) x1
Te (0.5000, 0.5000, 0.0000) x1

Summary:
formation energy from raw total energies = -0.028 eV per atom
total energy = -3.76 eV/atom

***

A geometry-optimized Cd2CuNi structure. Source: Alexandria via LeMat-Bulk, functional GGA-PBEsol.

Cell: 9.6932 2.8695 4.5663 Å, 90.00 109.07 90.00°
Space group Cm (No. 8)
Inequivalent atoms, fractional coordinates:
Cd (0.0000, 0.0000, 0.0000) x2
Cd (0.2161, 0.0000, 0.6503) x2
Cu (0.2590, 0.5000, 0.1843) x2
Ni (0.4650, 0.0000, 0.4780) x2

Summary:
total energy = -3.17 eV/atom
ΔE_f = 0.20 eV per formula unit

***

A geometry-optimized YSc2Zn2 structure. Source: Alexandria via LeMat-Bulk, functional GGA-PBEsol.

Cell: 7.8041 7.8041 3.4268 Å, 90.00 90.00 90.00°
Space group P4/mbm (No. 127)
Inequivalent atoms, fractional coordinates:
Y (0.0000, 0.0000, 0.0000) x2
Sc (0.1683, 0.3317, 0.5000) x4
Zn (0.1271, 0.6271, 0.0000) x4

Summary:
total energy = -4.87 eV/atom
ΔE_f = -1.17 eV per formula unit

***

A geometry-optimized TaMo3 structure. Source: Alexandria via LeMat-Bulk, functional GGA-PBEsol.

Cell: 4.4557 4.4844 12.6492 Å, 90.00 90.00 90.00°
Space group Imma (No. 74)
Inequivalent atoms, fractional coordinates:
Ta (0.0000, 0.2500, 0.0646) x4
Mo (0.0000, 0.2500, 0.3102) x4
Mo (0.0000, 0.2500, 0.5634) x4
Mo (0.0000, 0.2500, 0.8117) x4

Summary:
total energy = -12.06 eV/atom
ΔE_f = -0.37 eV per formula unit

***

A geometry-optimized YSc3 structure. Source: Alexandria via LeMat-Bulk, functional GGA-PBEsol.

Cell: 4.6496 4.6496 18.5665 Å, 90.00 90.00 90.00°
Space group I4/mmm (No. 139)
Inequivalent atoms, fractional coordinates:
Y (0.0000, 0.0000, 0.1240) x4
Sc (0.0000, 0.0000, 0.3743) x4
Sc (0.0000, 0.5000, 0.0000) x4
Sc (0.0000, 0.5000, 0.2500) x4

Summary:
total energy = -6.60 eV/atom
ΔE_f = 0.23 eV per formula unit

***

A geometry-optimized CaFe2H structure. Source: Alexandria via LeMat-Bulk, functional GGA-PBEsol.

Cell: 5.9487 5.9487 5.9487 Å, 90.00 90.00 90.00°
Space group Fm-3m (No. 225)
Inequivalent atoms, fractional coordinates:
Ca (0.0000, 0.0000, 0.0000) x4
Fe (0.2500, 0.2500, 0.2500) x8
H (0.0000, 0.0000, 0.5000) x4

Summary:
total energy = -4.48 eV/atom

***

A geometry-optimized TcGeF2 structure. Source: Alexandria via LeMat-Bulk, functional GGA-PBEsol.

Cell: 2.6725 2.6725 23.9420 Å, 90.00 90.00 120.00°
Space group R-3m (No. 166, hexagonal axes)
Inequivalent atoms, fractional coordinates:
Tc (0.0000, 0.0000, 0.0000) x3
Ge (0.0000, 0.0000, 0.5000) x3
F (0.0000, 0.0000, 0.4135) x6

Summary:
formation energy from raw total energies = -0.664 eV per atom
total energy = -5.68 eV/atom

***

A geometry-optimized Nd5In11Ni6 structure. Source: Alexandria via LeMat-Bulk, functional GGA-PBEsol.

Cell: 14.4127 14.4694 4.3509 Å, 90.00 90.00 90.00°
Space group Cmmm (No. 65)
Inequivalent atoms, fractional coordinates:
Nd (0.0000, 0.0000, 0.0000) x2
Nd (0.1730, 0.3628, 0.5000) x8
In (0.0000, 0.1945, 0.5000) x4
In (0.0000, 0.3393, 0.0000) x4
In (0.0000, 0.5000, 0.5000) x2
In (0.1567, 0.1925, 0.0000) x8
In (0.2255, 0.0000, 0.0000) x4
Ni (0.0929, 0.5000, 0.0000) x4
Ni (0.1384, 0.0833, 0.5000) x8

Summary:
total energy = -4.81 eV/atom
ΔE_f = -10.17 eV per formula unit

***

A geometry-optimized Sr8Mn3N9 structure. Source: Alexandria via LeMat-Bulk, functional GGA-PBEsol.

Cell: 7.4977 10.5190 18.6535 Å, 90.00 106.19 90.00°
Space group P2_1/c (No. 14)
Inequivalent atoms, fractional coordinates:
Sr (0.0098, 0.1204, 0.1452) x4
Sr (0.0698, 0.6230, 0.1435) x4
Sr (0.1929, 0.1297, 0.5513) x4
Sr (0.2169, 0.6198, 0.5656) x4
Sr (0.2552, 0.6291, 0.7699) x4
Sr (0.2781, 0.1283, 0.7807) x4
Sr (0.4798, 0.1272, 0.4229) x4
Sr (0.4801, 0.6253, 0.4172) x4
Mn (0.2006, 0.1305, 0.9367) x4
Mn (0.2034, 0.6199, 0.9311) x4
Mn (0.4531, 0.6277, 0.2512) x4
N (0.0090, 0.6249, 0.8532) x4
N (0.0253, 0.1371, 0.8532) x4
N (0.1501, 0.1279, 0.0201) x4
N (0.1687, 0.6180, 0.0183) x4
N (0.2547, 0.6154, 0.2831) x4
N (0.3456, 0.0628, 0.1979) x4
N (0.4159, 0.7345, 0.1806) x4
N (0.4238, 0.1203, 0.9336) x4
N (0.4266, 0.6236, 0.9237) x4

Summary:
formation energy from raw total energies = -0.847 eV per atom
total energy = -6.88 eV/atom

***

A geometry-optimized ZrBe2Al2 structure. Source: Alexandria via LeMat-Bulk, functional GGA-PBEsol.

Cell: 7.1477 7.1477 2.7529 Å, 90.00 90.00 90.00°
Space group P4/mbm (No. 127)
Inequivalent atoms, fractional coordinates:
Zr (0.0000, 0.0000, 0.0000) x2
Be (0.1651, 0.3349, 0.5000) x4
Al (0.1297, 0.6297, 0.0000) x4

Summary:
total energy = -5.05 eV/atom
ΔE_f = 0.00 eV per formula unit

***

A geometry-optimized In2Sn2Pb structure. Source: Alexandria via LeMat-Bulk, functional GGA-PBEsol.

Cell: 8.7345 8.7345 3.5453 Å, 90.00 90.00 90.00°
Space group P4/mbm (No. 127)
Inequivalent atoms, fractional coordinates:
In (0.1524, 0.3476, 0.0000) x4
Sn (0.1447, 0.6447, 0.5000) x4
Pb (0.0000, 0.0000, 0.5000) x2

Summary:
total energy = -3.66 eV/atom
ΔE_f = 0.21 eV per formula unit

***

A geometry-optimized LaW2I structure. Source: Alexandria via LeMat-Bulk, functional GGA-PBEsol.

Cell: 6.8477 6.8477 6.8477 Å, 90.00 90.00 90.00°
Space group Fm-3m (No. 225)
Inequivalent atoms, fractional coordinates:
La (0.0000, 0.0000, 0.0000) x4
W (0.2500, 0.2500, 0.2500) x8
I (0.0000, 0.0000, 0.5000) x4

Summary:
formation energy from raw total energies = 1.403 eV per atom
total energy = -7.28 eV/atom